No. 1
# PBE AcAl2InAg, relaxed
# Final energy = -19.01 eV per cell
data_AcAl2InAg
_space_group_name_H-M_alt 'P 1'
_space_group_IT_number 1
_cell_length_a 4.573
_cell_length_b 4.573
_cell_length_c 6.554
_cell_angle_alpha 110.42
_cell_angle_beta 110.42
_cell_angle_gamma 90.00
loop_
_space_group_symop_operation_xyz
'x,y,z'
loop_
_atom_site_label
_atom_site_fract_x
_atom_site_fract_y
_atom_site_fract_z
Ac1 0.000 0.000 0.000
Al1 0.613 0.613 0.227
Al2 0.387 0.387 0.773
In1 0.750 0.250 0.500
Ag1 0.250 0.750 0.500

---

No. 2
# PBE Ac2Al4In3Ag, relaxed
# Final energy = -37.21 eV per cell
data_Ac2Al4In3Ag
_space_group_name_H-M_alt 'P 1'
_space_group_IT_number 1
_cell_length_a 4.660
_cell_length_b 4.660
_cell_length_c 11.378
_cell_angle_alpha 90.00
_cell_angle_beta 90.00
_cell_angle_gamma 90.00
loop_
_space_group_symop_operation_xyz
'x,y,z'
loop_
_atom_site_label
_atom_site_fract_x
_atom_site_fract_y
_atom_site_fract_z
Ac1 0.500 0.000 0.255
Ac2 0.000 0.500 0.745
Al1 0.500 0.500 0.000
Al2 0.000 0.000 0.000
Al3 0.500 0.000 0.627
Al4 0.000 0.500 0.373
In1 0.000 0.000 0.500
In2 0.500 0.000 0.864
In3 0.000 0.500 0.136
Ag1 0.500 0.500 0.500

---

Which of these has the lowest final energy?
Ac2Al4In3Ag

---

Among the records above, which one has the lowest final energy?
Ac2Al4In3Ag

---

Among the records above, which one has the highest final energy?
AcAl2InAg